First-principles (PBE) data for crystalline Pm2Sm4Al at its relaxed geometry, as listed in Alexandria.

Structure (CIF):
```
data_Pm2Sm4Al
_chemical_formula_sum 'Pm2 Sm4 Al1'
_cell_length_a 4.810
_cell_length_b 4.810
_cell_length_c 10.703
_cell_angle_alpha 90.00
_cell_angle_beta 90.00
_cell_angle_gamma 90.00
_space_group_name_H-M_alt 'P -4 2 m'
_space_group_IT_number 111
_space_group_name_Hall 'P -4 2'
loop_
_atom_site_label
_atom_site_type_symbol
_atom_site_fract_x
_atom_site_fract_y
_atom_site_fract_z
Pm1 Pm 0.000 0.500 0.000
Sm1 Sm 0.241 0.241 0.717
Al1 Al 0.500 0.500 0.500
```

Properties
E: -4.11 eV per atom
D(E_F): 10.097 states/eV per cell
ΔE_f: 0.4775 eV/atom
spin magnetization: 0.00 μB/cell